Sr2ZnCu: relaxed, GGA-PBEsol.

Calculated values
The value obtained for the magnetic moment is 0.00 μB per formula unit. Its calculated formation energy is -0.10 eV/atom. As for the space-group type: No. 38. As for the calculated density: 4.43 g/cm3. The value obtained for the calculated volume is 28.49 Å³ per atom.

Lattice parameters (Å, degrees): 4.328 6.245 6.245 42.45 90.00 90.00
Positions (direct):
Sr 0.000 0.000 0.000
Sr 0.500 0.284 0.284
Zn 0.500 0.587 0.587
Cu 0.000 0.696 0.696

***

Cr2CdPt: relaxed, GGA-PBEsol.

Calculated values
The value obtained for the magnetic moment is 0.18 μB per formula unit. Its calculated formation energy is 0.11 eV/atom. As for the space-group type: No. 99. As for the calculated density: 11.84 g/cm3. The value obtained for the calculated volume is 14.42 Å³ per atom.

Lattice parameters (Å, degrees): 2.912 2.912 6.802 90.00 90.00 90.00
Positions (direct):
Cr 0.000 0.000 0.000
Cr 0.500 0.500 0.163
Cd 0.500 0.500 0.706
Pt 0.000 0.000 0.414

***

NdB2C2: relaxed, GGA-PBEsol.

Calculated values
The value obtained for the magnetic moment is 0.00 μB per formula unit. Its calculated formation energy is -0.46 eV/atom. As for the space-group type: No. 127. As for the calculated density: 5.82 g/cm3. The value obtained for the calculated volume is 10.83 Å³ per atom.

Lattice parameters (Å, degrees): 5.375 5.375 3.748 90.00 90.00 90.00
Positions (direct):
Nd 0.000 0.000 0.000
Nd 0.500 0.500 0.000
B 0.137 0.363 0.500
B 0.363 0.863 0.500
B 0.637 0.137 0.500
B 0.863 0.637 0.500
C 0.161 0.661 0.500
C 0.339 0.161 0.500
C 0.661 0.839 0.500
C 0.839 0.339 0.500

***

Lu3InC: relaxed, GGA-PBEsol.

Calculated values
The value obtained for the magnetic moment is 0.00 μB per formula unit. Its calculated formation energy is -0.63 eV/atom. As for the space-group type: No. 221. As for the calculated density: 10.29 g/cm3. The value obtained for the calculated volume is 21.04 Å³ per atom.

Lattice parameters (Å, degrees): 4.720 4.720 4.720 90.00 90.00 90.00
Positions (direct):
Lu 0.000 0.000 0.500
Lu 0.000 0.500 0.000
Lu 0.500 0.000 0.000
In 0.500 0.500 0.500
C 0.000 0.000 0.000

***

H3AuSe: relaxed, GGA-PBEsol.

Calculated values
The value obtained for the magnetic moment is 0.00 μB per formula unit. As for the space-group type: No. 221. As for the calculated density: 9.11 g/cm3. The value obtained for the calculated volume is 10.17 Å³ per atom. As for the total energy: -13.76 eV per cell.

Lattice parameters (Å, degrees): 3.704 3.704 3.704 90.00 90.00 90.00
Positions (direct):
H 0.000 0.000 0.500
H 0.000 0.500 0.000
H 0.500 0.000 0.000
Au 0.500 0.500 0.500
Se 0.000 0.000 0.000

***

Fe2HW: relaxed, GGA-PBEsol.

Calculated values
The value obtained for the magnetic moment is 0.33 μB per formula unit. As for the space-group type: No. 225. As for the calculated density: 11.73 g/cm3. The value obtained for the calculated volume is 10.49 Å³ per atom. As for the total energy: -32.41 eV per cell.

Lattice parameters (Å, degrees): 3.901 3.901 3.901 60.00 60.00 60.00
Positions (direct):
Fe 0.250 0.250 0.250
Fe 0.750 0.750 0.750
H 0.000 0.000 0.000
W 0.500 0.500 0.500

***

Mn3ZnSb: relaxed, GGA-PBEsol.

Calculated values
The value obtained for the magnetic moment is 11.45 μB per formula unit. As for the space-group type: No. 221. As for the calculated density: 4.98 g/cm3. The calculation puts the uncorrected formation energy at 1.296 eV/atom. The value obtained for the calculated volume is 23.49 Å³ per atom.

Lattice parameters (Å, degrees): 4.897 4.897 4.897 90.00 90.00 90.00
Positions (direct):
Mn 0.000 0.000 0.500
Mn 0.000 0.500 0.000
Mn 0.500 0.000 0.000
Zn 0.500 0.500 0.500
Sb 0.000 0.000 0.000

***

CrRh2: relaxed, GGA-PBEsol.

Calculated values
The value obtained for the magnetic moment is 1.39 μB per formula unit. Its calculated formation energy is -0.07 eV/atom. As for the space-group type: No. 141. As for the calculated density: 11.05 g/cm3. The value obtained for the calculated volume is 12.91 Å³ per atom.

Lattice parameters (Å, degrees): 11.576 11.576 11.576 161.57 161.57 26.17
Positions (direct):
Cr 0.293 0.543 0.750
Cr 0.457 0.707 0.750
Cr 0.543 0.293 0.250
Cr 0.707 0.457 0.250
Rh 0.041 0.791 0.250
Rh 0.125 0.375 0.750
Rh 0.209 0.959 0.250
Rh 0.375 0.125 0.250
Rh 0.625 0.875 0.750
Rh 0.791 0.041 0.750
Rh 0.875 0.625 0.250
Rh 0.959 0.209 0.750

***

Which of these has the highest magnetic moment? Mn3ZnSb